(1)
The following is a DFT calculation (GGA-PBE) of crystalline Na3Ti2CoSe6 at its relaxed geometry.

```
Na3Ti2CoSe6
1.0
3.2308 -5.6008 0.0000
3.2308 5.6008 0.0000
-2.1564 0.0000 6.9294
Na Ti Co Se
3 2 1 6
Cartesian
0.0000 0.0000 0.0000
3.2308 1.8979 0.0000
3.2308 -1.8979 0.0000
2.1526 3.7466 3.4647
2.1526 -3.7466 3.4647
2.1526 0.0000 3.4647
1.1083 1.8141 2.0530
0.0640 0.0000 4.8837
1.1083 -1.8141 2.0530
3.1968 1.8141 4.8763
4.2411 0.0000 2.0457
3.1968 -1.8141 4.8763
```

Computed properties:
As for the space group: C2/m. For the uncorrected formation energy, the calculation gives -1094 kJ/mol of formula units.

(2)
The following is a DFT calculation (GGA-PBE) of crystalline Na4Ti3CoSe8 at its relaxed geometry.

```
Na4Ti3CoSe8
1.0
3.7350 2.1564 6.9666
-3.7350 2.1564 6.9666
0.0000 -4.3128 6.9666
Na Ti Co Se
4 3 1 8
Cartesian
0.0000 0.0000 0.0000
-1.8675 -1.0782 6.9666
-1.8675 1.0782 13.9333
0.0000 2.1564 6.9666
-3.7350 0.0000 10.4500
-1.8675 1.0782 3.4833
1.8675 1.0782 3.4833
0.0000 0.0000 10.4500
0.0000 0.0000 4.9740
-1.8224 -1.0521 11.8697
0.0000 -2.1043 9.0303
-1.8223 1.0521 9.0303
1.8224 -1.0521 11.8697
0.0000 2.1043 11.8697
1.8224 1.0521 9.0303
0.0000 0.0000 15.9259
```

Computed properties:
As for the space group: R-3m. For the uncorrected formation energy, the calculation gives -1551 kJ/mol of formula units.

(3)
The following is a DFT calculation (GGA-PBE) of crystalline Na3Ti3CoSe8 at its relaxed geometry.

```
Na3Ti3CoSe8
1.0
3.6599 2.1131 7.1651
-3.6599 2.1131 7.1651
0.0000 -4.2261 7.1651
Na Ti Co Se
3 3 1 8
Cartesian
-1.8300 -1.0565 7.1651
-1.8300 1.0565 14.3302
0.0000 2.1130 7.1651
-3.6599 0.0000 10.7476
-1.8300 1.0565 3.5825
1.8300 1.0565 3.5825
0.0000 0.0000 10.7476
0.0000 0.0000 5.1013
-1.7619 -1.0173 12.1795
0.0000 -2.0345 9.3157
-1.7619 1.0173 9.3157
1.7620 -1.0173 12.1795
0.0000 2.0345 12.1795
1.7619 1.0173 9.3158
0.0000 0.0000 16.3940
```

Computed properties:
As for the space group: R-3m. For the uncorrected formation energy, the calculation gives -1442 kJ/mol of formula units.

(4)
The following is a DFT calculation (GGA-PBE) of crystalline NaUCoSe4 at its relaxed geometry.

```
NaUCoSe4
1.0
6.8731 0.0000 0.0000
0.0000 5.7746 0.0000
-2.4612 0.0000 8.2606
Na U Co Se
2 2 2 8
Cartesian
0.5073 1.4436 3.6670
3.9046 4.3309 4.5936
-0.7137 1.4436 7.8028
5.1256 4.3309 0.4578
1.2947 4.3309 1.3854
3.1173 1.4436 6.8752
-0.4694 4.3309 2.9097
-1.7040 4.3309 7.4057
1.3884 2.9333 6.4021
1.3884 5.7285 6.4021
3.0235 0.0461 1.8585
3.0235 2.8412 1.8585
6.1159 1.4436 0.8549
4.8813 1.4436 5.3509
```

Computed properties:
As for the space group: P2_1/m. For the uncorrected formation energy, the calculation gives -534 kJ/mol of formula units.

(5)
The following is a DFT calculation (GGA-PBE) of crystalline Na3U2CoSe6 at its relaxed geometry.

```
Na3U2CoSe6
1.0
3.4493 -5.9821 0.0000
3.4493 5.9821 0.0000
-2.3075 0.0000 7.0717
Na U Co Se
3 2 1 6
Cartesian
0.0000 0.0000 0.0000
3.4493 2.0271 0.0000
3.4493 -2.0271 0.0000
2.2955 3.9925 3.5358
2.2955 -3.9925 3.5358
2.2955 0.0000 3.5358
1.2011 1.9029 1.9564
0.1045 0.0000 5.1159
1.2011 -1.9029 1.9564
3.3900 1.9029 5.1153
4.4866 0.0000 1.9558
3.3900 -1.9029 5.1153
```

Computed properties:
As for the space group: C2/m. For the uncorrected formation energy, the calculation gives -1126 kJ/mol of formula units.

(6)
The following is a DFT calculation (GGA-PBE) of crystalline Na3V3CoSe8 at its relaxed geometry.

```
Na3V3CoSe8
1.0
3.6391 2.1010 7.1127
-3.6391 2.1010 7.1127
0.0000 -4.2020 7.1127
Na V Co Se
3 3 1 8
Cartesian
-1.8195 -1.0505 7.1127
-1.8195 1.0505 14.2253
0.0000 2.1010 7.1126
-3.6391 0.0000 10.6690
-1.8195 1.0505 3.5563
1.8195 1.0505 3.5563
0.0000 0.0000 10.6690
0.0000 0.0000 5.0180
-1.7546 -1.0130 12.0554
0.0000 -2.0260 9.2826
-1.7546 1.0130 9.2826
1.7546 -1.0130 12.0554
0.0000 2.0260 12.0554
1.7546 1.0130 9.2825
0.0000 0.0000 16.3199
```

Computed properties:
As for the space group: R-3m. For the uncorrected formation energy, the calculation gives -1071 kJ/mol of formula units.

(7)
The following is a DFT calculation (GGA-PBE) of crystalline NaVCo2Se at its relaxed geometry.

```
NaVCo2Se
1.0
4.3904 0.0000 0.0000
0.0000 4.3904 0.0000
0.0000 0.0000 4.8000
Na V Co Se
1 1 2 1
Cartesian
0.0000 0.0000 0.0000
2.1952 2.1952 2.4000
0.0000 2.1952 2.4000
2.1952 0.0000 2.4000
2.1952 2.1952 0.0000
```

Computed properties:
As for the space group: P4/mmm. For the uncorrected formation energy, the calculation gives 265 kJ/mol of formula units.

(8)
The following is a DFT calculation (GGA-PBE) of crystalline NaZrCoSe3 at its relaxed geometry.

```
NaZrCoSe3
1.0
8.2458 0.0000 0.0000
0.0000 3.7560 0.0000
-3.0752 0.0000 8.8140
Na Zr Co Se
2 2 2 6
Cartesian
1.0327 0.9390 2.1517
4.1378 2.8170 6.6624
0.0017 2.8170 7.2793
5.1689 0.9390 1.5347
-1.1291 0.9390 5.2138
6.2996 2.8170 3.6002
-1.8934 0.9390 7.5246
0.2522 2.8170 4.6011
3.1791 2.8170 1.2920
1.9914 0.9390 7.5220
4.9184 0.9390 4.2129
7.0640 2.8170 1.2894
```

Computed properties:
As for the space group: P2_1/m. For the uncorrected formation energy, the calculation gives -583 kJ/mol of formula units.

Among the records above, which one has the highest uncorrected formation energy? NaVCo2Se